[1]
{"formula": "Hf4HOs", "functional": "GGA-PBE", "state": "optimized geometry", "volume_a3_per_cell": 237, "n_ef_per_ev_cell": 8.6, "total_energy_ev_per_fu": -55.04, "cell": [[-4.080, 4.080, 3.556], [4.080, -4.080, 3.556], [4.080, 4.080, -3.556]], "species": ["Hf", "Hf", "Hf", "Hf", "Hf", "Hf", "Hf", "Hf", "H", "H", "Os", "Os"], "fractional_positions": [[0.211, 0.264, 0.553], [0.211, 0.658, 0.947], [0.264, 0.211, 0.053], [0.342, 0.789, 0.553], [0.658, 0.211, 0.447], [0.736, 0.789, 0.947], [0.789, 0.342, 0.053], [0.789, 0.736, 0.447], [0.375, 0.625, 0.750], [0.625, 0.375, 0.250], [0.125, 0.875, 0.250], [0.875, 0.125, 0.750]]}

***

[2]
{"formula": "Rb2PCl5", "functional": "GGA-PBE", "state": "optimized geometry", "e_form_raw_mev_per_atom": -1280, "volume_a3_per_cell": 260, "n_ef_per_ev_cell": 0.0, "cell": [[-3.791, 3.791, 4.522], [3.791, -3.791, 4.522], [3.791, 3.791, -4.522]], "species": ["Rb", "Rb", "P", "Cl", "Cl", "Cl", "Cl", "Cl"], "fractional_positions": [[0.000, 0.500, 0.500], [0.500, 0.000, 0.500], [0.242, 0.242, 0.000], [0.011, 0.011, 0.000], [0.024, 0.024, 0.546], [0.024, 0.478, 0.000], [0.478, 0.024, 0.000], [0.478, 0.478, 0.454]]}

***

[3]
{"formula": "Sr2CaPt4Pb3", "functional": "GGA-PBE", "state": "optimized geometry", "volume_a3_per_cell": 261, "n_ef_per_ev_cell": 4.7, "e_form_ev_per_atom": -0.58, "cell": [[4.803, 0.000, 0.000], [0.000, 4.803, 0.000], [0.000, 0.000, 11.334]], "species": ["Sr", "Sr", "Ca", "Pt", "Pt", "Pt", "Pt", "Pb", "Pb", "Pb"], "fractional_positions": [[0.000, 0.500, 0.222], [0.500, 0.000, 0.778], [0.000, 0.000, 0.500], [0.000, 0.000, 0.000], [0.000, 0.500, 0.638], [0.500, 0.000, 0.362], [0.500, 0.500, 0.000], [0.000, 0.500, 0.878], [0.500, 0.000, 0.122], [0.500, 0.500, 0.500]]}

***

[4]
{"formula": "Si2PAuC", "functional": "GGA-PBE", "state": "optimized geometry", "e_form_raw_mev_per_atom": 302, "volume_a3_per_cell": 83, "n_ef_per_ev_cell": 1.6, "cell": [[4.775, 0.000, 0.000], [0.000, 3.301, 0.000], [-1.317, 0.000, 5.250]], "species": ["Si", "Si", "P", "Au", "C"], "fractional_positions": [[0.000, 0.000, 0.000], [0.343, 0.500, 0.484], [0.720, 0.000, 0.292], [0.898, 0.500, 0.658], [0.332, 0.000, 0.269]]}